# 1
# CoAgOs2 (meta-GGA SCAN, single point on PBEsol structure)
data_CoAgOs2
_space_group_name_H-M_alt 'I m m m'
_space_group_IT_number 71
_space_group_name_Hall '-I 2 2'
_cell_length_a 2.6633
_cell_length_b 4.3632
_cell_length_c 9.6073
_cell_angle_alpha 90.00
_cell_angle_beta 90.00
_cell_angle_gamma 90.00
loop_
_atom_site_label
_atom_site_type_symbol
_atom_site_fract_x
_atom_site_fract_y
_atom_site_fract_z
Co1 Co 0.0000 0.0000 0.0000
Ag1 Ag 0.0000 0.0000 0.5000
Os1 Os 0.0000 0.5000 0.2856
# Distance to the lowest polymorph of the same formula ... 0.000 eV/atom
# Calculated density ... 16.28 Mg/m³
# VASP energy ... -47.626 eV per atom
# Total moment ... 2.71 μB per cell
# Formation energy ... 0.482 eV/atom


# 2
# CoAg2Os (meta-GGA SCAN, single point on PBEsol structure)
data_CoAg2Os
_space_group_name_H-M_alt 'I 4/m m m'
_space_group_IT_number 139
_space_group_name_Hall '-I 4 2'
_cell_length_a 3.6998
_cell_length_b 3.6998
_cell_length_c 8.4311
_cell_angle_alpha 90.00
_cell_angle_beta 90.00
_cell_angle_gamma 90.00
loop_
_atom_site_label
_atom_site_type_symbol
_atom_site_fract_x
_atom_site_fract_y
_atom_site_fract_z
Co1 Co 0.0000 0.0000 0.0000
Ag1 Ag 0.0000 0.5000 0.2500
Os1 Os 0.0000 0.0000 0.5000
# Distance to the lowest polymorph of the same formula ... 0.387 eV/atom
# Calculated density ... 13.38 Mg/m³
# VASP energy ... -37.200 eV per atom
# Total moment ... 6.51 μB per cell
# Formation energy ... 0.779 eV/atom


# 3
# CoAgOs2 (meta-GGA SCAN, single point on PBEsol structure)
data_CoAgOs2
_space_group_name_H-M_alt 'P m m m'
_space_group_IT_number 47
_space_group_name_Hall '-P 2 2'
_cell_length_a 2.6251
_cell_length_b 3.6740
_cell_length_c 5.7093
_cell_angle_alpha 90.00
_cell_angle_beta 90.00
_cell_angle_gamma 90.00
loop_
_atom_site_label
_atom_site_type_symbol
_atom_site_fract_x
_atom_site_fract_y
_atom_site_fract_z
Co1 Co 0.0000 0.0000 0.0000
Ag1 Ag 0.0000 0.0000 0.5000
Os1 Os 0.5000 0.5000 0.2141
# Distance to the lowest polymorph of the same formula ... 0.220 eV/atom
# Calculated density ... 16.50 Mg/m³
# VASP energy ... -47.405 eV per atom
# Total moment ... 1.81 μB per cell
# Formation energy ... 0.702 eV/atom


# 4
# CoAg2Os (meta-GGA SCAN, single point on PBEsol structure)
data_CoAg2Os
_space_group_name_H-M_alt 'P 4 m m'
_space_group_IT_number 99
_space_group_name_Hall 'P 4 -2'
_cell_length_a 2.7004
_cell_length_b 2.7004
_cell_length_c 7.8047
_cell_angle_alpha 90.00
_cell_angle_beta 90.00
_cell_angle_gamma 90.00
loop_
_atom_site_label
_atom_site_type_symbol
_atom_site_fract_x
_atom_site_fract_y
_atom_site_fract_z
Co1 Co 0.0000 0.0000 0.0000
Ag1 Ag 0.0000 0.0000 0.4702
Ag2 Ag 0.5000 0.5000 0.7488
Os1 Os 0.5000 0.5000 0.1928
# Distance to the lowest polymorph of the same formula ... 0.000 eV/atom
# Calculated density ... 13.56 Mg/m³
# VASP energy ... -37.587 eV per atom
# Total moment ... 1.33 μB per cell
# Formation energy ... 0.392 eV/atom


# 5
# CoAg2Os (meta-GGA SCAN, single point on PBEsol structure)
data_CoAg2Os
_space_group_name_H-M_alt 'P 4/m m m'
_space_group_IT_number 123
_space_group_name_Hall '-P 4 2'
_cell_length_a 2.6201
_cell_length_b 2.6201
_cell_length_c 8.4004
_cell_angle_alpha 90.00
_cell_angle_beta 90.00
_cell_angle_gamma 90.00
loop_
_atom_site_label
_atom_site_type_symbol
_atom_site_fract_x
_atom_site_fract_y
_atom_site_fract_z
Co1 Co 0.0000 0.0000 0.0000
Ag1 Ag 0.5000 0.5000 0.2371
Os1 Os 0.0000 0.0000 0.5000
# Distance to the lowest polymorph of the same formula ... 0.297 eV/atom
# Calculated density ... 13.39 Mg/m³
# VASP energy ... -37.290 eV per atom
# Total moment ... 2.31 μB per cell
# Formation energy ... 0.690 eV/atom


# 6
# CoAgOs2 (meta-GGA SCAN, single point on PBEsol structure)
data_CoAgOs2
_space_group_name_H-M_alt 'C 1 2/m 1'
_space_group_IT_number 12
_space_group_name_Hall '-C 2y'
_cell_length_a 5.2542
_cell_length_b 9.1614
_cell_length_c 2.6472
_cell_angle_alpha 90.00
_cell_angle_beta 118.09
_cell_angle_gamma 90.00
loop_
_atom_site_label
_atom_site_type_symbol
_atom_site_fract_x
_atom_site_fract_y
_atom_site_fract_z
Co1 Co 0.0000 0.0000 0.0000
Ag1 Ag 0.0000 0.5000 0.0000
Os1 Os 0.2500 0.2500 0.5000
# Distance to the lowest polymorph of the same formula ... 0.192 eV/atom
# Calculated density ... 16.17 Mg/m³
# VASP energy ... -47.433 eV per atom
# Total moment ... 6.10 μB per cell
# Formation energy ... 0.674 eV/atom


# 7
# Co2AgOsS (meta-GGA SCAN, single point on PBEsol structure)
data_Co2AgOsS
_space_group_name_H-M_alt 'P 4/m m m'
_space_group_IT_number 123
_space_group_name_Hall '-P 4 2'
_cell_length_a 4.4893
_cell_length_b 4.4893
_cell_length_c 4.8306
_cell_angle_alpha 90.00
_cell_angle_beta 90.00
_cell_angle_gamma 90.00
loop_
_atom_site_label
_atom_site_type_symbol
_atom_site_fract_x
_atom_site_fract_y
_atom_site_fract_z
Co1 Co 0.0000 0.5000 0.0000
Ag1 Ag 0.0000 0.0000 0.0000
Os1 Os 0.0000 0.0000 0.5000
S1 S 0.5000 0.5000 0.5000
# Formation energy from raw total energies ... 2109 meV/atom
# Calculated density ... 7.64 Mg/m³
# VASP energy ... -27.387 eV per atom
# Total moment ... 6.20 μB per cell


# 8
# TlCoAgOs2 (meta-GGA SCAN, single point on PBEsol structure)
data_TlCoAgOs2
_space_group_name_H-M_alt 'P 4/m m m'
_space_group_IT_number 123
_space_group_name_Hall '-P 4 2'
_cell_length_a 4.9181
_cell_length_b 4.9181
_cell_length_c 4.6062
_cell_angle_alpha 90.00
_cell_angle_beta 90.00
_cell_angle_gamma 90.00
loop_
_atom_site_label
_atom_site_type_symbol
_atom_site_fract_x
_atom_site_fract_y
_atom_site_fract_z
Tl1 Tl 0.0000 0.0000 0.0000
Co1 Co 0.0000 0.0000 0.5000
Ag1 Ag 0.5000 0.5000 0.5000
Os1 Os 0.0000 0.5000 0.0000
# Calculated density ... 11.20 Mg/m³
# VASP energy ... -50.215 eV per atom
# Total moment ... 5.46 μB per cell
# Formation energy ... 2.743 eV/atom


# 9
# Co2AgP (meta-GGA SCAN, single point on PBEsol structure)
data_Co2AgP
_space_group_name_H-M_alt 'R -3 m'
_space_group_IT_number 166
_space_group_name_Hall '-R 3 2"'
_cell_length_a 2.7010
_cell_length_b 2.7010
_cell_length_c 22.9692
_cell_angle_alpha 90.00
_cell_angle_beta 90.00
_cell_angle_gamma 120.00
loop_
_atom_site_label
_atom_site_type_symbol
_atom_site_fract_x
_atom_site_fract_y
_atom_site_fract_z
Co1 Co 0.0000 0.0000 0.2353
Ag1 Ag 0.0000 0.0000 0.0000
P1 P 0.0000 0.0000 0.5000
# Calculated density ... 8.81 Mg/m³
# VASP energy ... -18.961 eV per atom
# Total moment ... 4.93 μB per cell
# Formation energy ... 0.133 eV/atom


# 10
# Co2AgP (meta-GGA SCAN, single point on PBEsol structure)
data_Co2AgP
_space_group_name_H-M_alt 'C m m m'
_space_group_IT_number 65
_space_group_name_Hall '-C 2 2'
_cell_length_a 5.7770
_cell_length_b 5.8130
_cell_length_c 2.8655
_cell_angle_alpha 90.00
_cell_angle_beta 90.00
_cell_angle_gamma 90.00
loop_
_atom_site_label
_atom_site_type_symbol
_atom_site_fract_x
_atom_site_fract_y
_atom_site_fract_z
Co1 Co 0.2500 0.2500 0.0000
Ag1 Ag 0.0000 0.0000 0.5000
P1 P 0.0000 0.5000 0.5000
# Calculated density ... 8.86 Mg/m³
# VASP energy ... -18.710 eV per atom
# Total moment ... 5.95 μB per cell
# Formation energy ... 0.384 eV/atom


# 11
# Co2AgP (meta-GGA SCAN, single point on PBEsol structure)
data_Co2AgP
_space_group_name_H-M_alt 'I 4/m m m'
_space_group_IT_number 139
_space_group_name_Hall '-I 4 2'
_cell_length_a 3.9062
_cell_length_b 3.9062
_cell_length_c 6.1286
_cell_angle_alpha 90.00
_cell_angle_beta 90.00
_cell_angle_gamma 90.00
loop_
_atom_site_label
_atom_site_type_symbol
_atom_site_fract_x
_atom_site_fract_y
_atom_site_fract_z
Co1 Co 0.0000 0.5000 0.2500
Ag1 Ag 0.0000 0.0000 0.0000
P1 P 0.0000 0.0000 0.5000
# Calculated density ... 9.12 Mg/m³
# VASP energy ... -18.642 eV per atom
# Total moment ... 0.00 μB per cell
# Formation energy ... 0.451 eV/atom


# 12
# CoAgPRu2 (meta-GGA SCAN, single point on PBEsol structure)
data_CoAgPRu2
_space_group_name_H-M_alt 'P 4/m m m'
_space_group_IT_number 123
_space_group_name_Hall '-P 4 2'
_cell_length_a 4.2890
_cell_length_b 4.2890
_cell_length_c 4.5754
_cell_angle_alpha 90.00
_cell_angle_beta 90.00
_cell_angle_gamma 90.00
loop_
_atom_site_label
_atom_site_type_symbol
_atom_site_fract_x
_atom_site_fract_y
_atom_site_fract_z
Co1 Co 0.0000 0.0000 0.0000
Ag1 Ag 0.0000 0.0000 0.5000
P1 P 0.5000 0.5000 0.5000
Ru1 Ru 0.0000 0.5000 0.0000
# Calculated density ... 7.89 Mg/m³
# VASP energy ... -24.154 eV per atom
# Total moment ... 0.00 μB per cell
# Formation energy ... 1.590 eV/atom